Here is crystalline MnTcIr2 at its relaxed geometry from Alexandria. Energies are from PBE.

Uncorrected energy: -37.65 eV per cell
E above lowest polymorph: 82 meV per atom

```
data_MnTcIr2
_cell_length_a 2.703
_cell_length_b 3.808
_cell_length_c 5.398
_cell_angle_alpha 90.00
_cell_angle_beta 90.00
_cell_angle_gamma 90.00
_symmetry_space_group_name_H-M 'P m m 2'
_symmetry_Int_Tables_number 25
_symmetry_space_group_name_Hall 'P 2 -2'
loop_
_atom_site_label
_atom_site_fract_x
_atom_site_fract_y
_atom_site_fract_z
Mn1 0.000 0.000 0.000
Tc1 0.500 0.500 0.254
Ir1 0.000 0.000 0.499
Ir2 0.500 0.500 0.772
```